Dy3YTm2CoTe2: relaxed, GGA-PBE.

Calculated values
The calculation puts the electronic total energy at -96.9 eV for the cell shown. The crystal system is orthorhombic.

a b c (Å): 3.8970 14.3207 8.3991
angles (deg): 90.00 90.00 90.00
Space group Amm2 (No. 38)
Inequivalent atoms, fractional coordinates:
Dy (0.0000, 0.0000, 0.0000) (multiplicity 2)
Dy (0.0000, 0.1181, 0.6445) (multiplicity 4)
Y (0.5000, 0.0000, 0.3615) (multiplicity 2)
Tm (0.5000, 0.1975, 0.9619) (multiplicity 4)
Co (0.5000, 0.0000, 0.7753) (multiplicity 2)
Te (0.0000, 0.1674, 0.2633) (multiplicity 4)

=====

Pa2S3: relaxed, GGA-PBE.

Calculated values
The calculation puts the electronic total energy at -39.6 eV for the cell shown. The crystal system is trigonal.

a b c (Å): 3.9244 3.9244 9.7452
angles (deg): 90.00 90.00 120.00
Space group P-3m1 (No. 164)
Inequivalent atoms, fractional coordinates:
Pa (0.3333, 0.6667, 0.1583) (multiplicity 2)
S (0.0000, 0.0000, 0.0000) (multiplicity 1)
S (0.3333, 0.6667, 0.6893) (multiplicity 2)

=====

BeInCoRe: relaxed, GGA-PBE.

Calculated values
The calculation puts the electronic total energy at -97.9 eV for the cell shown. As for the excess energy over the best structure of this formula in the dataset: 0.0000 eV/atom. The crystal system is cubic.

a b c (Å): 6.0074 6.0074 6.0074
angles (deg): 90.00 90.00 90.00
Space group F-43m (No. 216)
Inequivalent atoms, fractional coordinates:
Be (0.0000, 0.0000, 0.0000) (multiplicity 4)
In (0.2500, 0.2500, 0.2500) (multiplicity 4)
Co (0.0000, 0.0000, 0.5000) (multiplicity 4)
Re (0.2500, 0.2500, 0.7500) (multiplicity 4)